Entry 1:
# PaAlCu4, relaxed, DFT PBE-GGA
data_PaAlCu4
_cell_length_a 7.170
_cell_length_b 7.170
_cell_length_c 7.170
_cell_angle_alpha 90.00
_cell_angle_beta 90.00
_cell_angle_gamma 90.00
_space_group_name_H-M_alt 'F -4 3 m'
_space_group_IT_number 216
_space_group_name_Hall 'F -4 2 3'
loop_
_atom_site_label
_atom_site_type_symbol
_atom_site_fract_x
_atom_site_fract_y
_atom_site_fract_z
Pa1 Pa 0.000 0.000 0.000
Al1 Al 0.250 0.250 0.750
Cu1 Cu 0.124 0.124 0.376
# total energy: -4.985 eV/atom
# DOS at the Fermi energy: 5.94 states/eV/f.u.



Entry 2:
# PaAl7Cu5, relaxed, DFT PBE-GGA
data_PaAl7Cu5
_cell_length_a 5.071
_cell_length_b 8.826
_cell_length_c 8.750
_cell_angle_alpha 90.00
_cell_angle_beta 90.00
_cell_angle_gamma 90.00
_space_group_name_H-M_alt 'I m m 2'
_space_group_IT_number 44
_space_group_name_Hall 'I 2 -2'
loop_
_atom_site_label
_atom_site_type_symbol
_atom_site_fract_x
_atom_site_fract_y
_atom_site_fract_z
Pa1 Pa 0.000 0.000 0.000
Al1 Al 0.000 0.000 0.346
Al2 Al 0.000 0.000 0.650
Al3 Al 0.000 0.291 0.506
Al4 Al 0.000 0.348 0.993
Al5 Al 0.000 0.500 0.277
Cu1 Cu 0.000 0.500 0.725
Cu2 Cu 0.249 0.252 0.252
# total energy: -4.590 eV/atom
# DOS at the Fermi energy: 6.50 states/eV/f.u.



Entry 3:
# PaAl2Cu, relaxed, DFT PBE-GGA
data_PaAl2Cu
_cell_length_a 6.375
_cell_length_b 4.474
_cell_length_c 10.305
_cell_angle_alpha 90.00
_cell_angle_beta 90.00
_cell_angle_gamma 90.00
_space_group_name_H-M_alt 'P n m a'
_space_group_IT_number 62
_space_group_name_Hall '-P 2ac 2n'
loop_
_atom_site_label
_atom_site_type_symbol
_atom_site_fract_x
_atom_site_fract_y
_atom_site_fract_z
Pa1 Pa 0.230 0.250 0.154
Al1 Al 0.054 0.750 0.357
Al2 Al 0.244 0.750 0.947
Cu1 Cu 0.063 0.250 0.873
# total energy: -5.470 eV/atom
# DOS at the Fermi energy: 4.60 states/eV/f.u.



Entry 4:
# PaAl3Cu, relaxed, DFT PBE-GGA
data_PaAl3Cu
_cell_length_a 4.174
_cell_length_b 4.174
_cell_length_c 10.394
_cell_angle_alpha 90.00
_cell_angle_beta 90.00
_cell_angle_gamma 90.00
_space_group_name_H-M_alt 'I 4 m m'
_space_group_IT_number 107
_space_group_name_Hall 'I 4 -2'
loop_
_atom_site_label
_atom_site_type_symbol
_atom_site_fract_x
_atom_site_fract_y
_atom_site_fract_z
Pa1 Pa 0.000 0.000 0.000
Al1 Al 0.000 0.000 0.406
Al2 Al 0.000 0.500 0.249
Cu1 Cu 0.000 0.000 0.629
# total energy: -5.222 eV/atom
# DOS at the Fermi energy: 4.70 states/eV/f.u.



Entry 5:
# PaAlCu3, relaxed, DFT PBE-GGA
data_PaAlCu3
_cell_length_a 7.959
_cell_length_b 3.847
_cell_length_c 10.378
_cell_angle_alpha 90.00
_cell_angle_beta 90.00
_cell_angle_gamma 90.00
_space_group_name_H-M_alt 'P n m a'
_space_group_IT_number 62
_space_group_name_Hall '-P 2ac 2n'
loop_
_atom_site_label
_atom_site_type_symbol
_atom_site_fract_x
_atom_site_fract_y
_atom_site_fract_z
Pa1 Pa 0.134 0.250 0.007
Al1 Al 0.069 0.250 0.396
Cu1 Cu 0.103 0.750 0.231
Cu2 Cu 0.132 0.250 0.625
Cu3 Cu 0.147 0.750 0.784
# total energy: -5.187 eV/atom
# DOS at the Fermi energy: 3.87 states/eV/f.u.



Entry 6:
# Pa2Al8Cu, relaxed, DFT PBE-GGA
data_Pa2Al8Cu
_cell_length_a 4.297
_cell_length_b 4.297
_cell_length_c 11.261
_cell_angle_alpha 90.00
_cell_angle_beta 90.00
_cell_angle_gamma 90.00
_space_group_name_H-M_alt 'P 4/m m m'
_space_group_IT_number 123
_space_group_name_Hall '-P 4 2'
loop_
_atom_site_label
_atom_site_type_symbol
_atom_site_fract_x
_atom_site_fract_y
_atom_site_fract_z
Pa1 Pa 0.000 0.000 0.189
Al1 Al 0.000 0.500 0.000
Al2 Al 0.000 0.500 0.378
Al3 Al 0.500 0.500 0.193
Cu1 Cu 0.000 0.000 0.500
# total energy: -5.047 eV/atom
# DOS at the Fermi energy: 8.25 states/eV/f.u.